ThZrCo2Sb2: optimized geometry, PBE-GGA.

- Crystal system: monoclinic
- Energy: -7.10 eV/atom

Cell: 8.975 4.454 13.377 Å, 90.00 109.20 90.00°
Fractional coordinates of all 24 atoms:
Th 0.000 0.000 0.000
Th 0.123 0.500 0.750
Th 0.250 0.000 0.501
Th 0.745 0.000 0.494
Zr 0.374 0.500 0.249
Zr 0.500 0.000 0.000
Zr 0.622 0.500 0.750
Zr 0.872 0.500 0.244
Co 0.066 0.500 0.132
Co 0.204 0.000 0.882
Co 0.325 0.500 0.630
Co 0.433 0.000 0.366
Co 0.563 0.500 0.124
Co 0.682 0.000 0.875
Co 0.802 0.500 0.627
Co 0.931 0.000 0.364
Sb 0.125 0.000 0.249
Sb 0.266 0.500 0.007
Sb 0.389 0.000 0.757
Sb 0.497 0.500 0.497
Sb 0.619 0.000 0.239
Sb 0.736 0.500 0.998
Sb 0.855 0.000 0.748
Sb 0.993 0.500 0.488